A plane-wave DFT calculation with PBE was carried out for a relaxed TbPr2InO crystal.

Results
* final energy: -5.78 eV per atom
* magnetic moment: 0.0 μB/cell
* crystal system: tetragonal

abc: 5.0553 5.0553 4.7814
angles: 90.00 90.00 90.00
Space group P4/mmm (No. 123)
Asymmetric unit:
Tb 0.0000 0.0000 0.0000 [1 per cell]
Pr 0.0000 0.5000 0.5000 [2 per cell]
In 0.5000 0.5000 0.0000 [1 per cell]
O 0.0000 0.0000 0.5000 [1 per cell]